No. 1
First-principles (PBE-GGA) data for crystalline Cs2Cd3InSn4 at its relaxed geometry, as listed in Alexandria via LeMat-Bulk.

Summary:
- energy of formation (eV/atom) = -0.146
- space group = P-4m2
- total DFT energy (no corrections) (eV/atom) = -2.47
- crystal system = tetragonal

Lattice parameters (Å, degrees): 5.0737 5.0737 12.6534 90.00 90.00 90.00
Closest atoms and distances in Å follow each position.
Sites, in units of the cell vectors:
Cs  0.0000  0.5000  0.2471  8 Sn 3.88-4.08, 6 Cd 3.89-4.03, 2 In 4.03
Cs  0.5000  0.0000  0.7529  8 Sn 3.88-4.08, 6 Cd 3.89-4.03, 2 In 4.03
Cd  0.0000  0.0000  0.0000  4 Sn 3.03
Cd  0.0000  0.5000  0.6346  5 Sn 2.97-3.06
Cd  0.5000  0.0000  0.3654  5 Sn 2.97-3.06
In  0.5000  0.5000  0.0000  4 Sn 3.03
Sn  0.0000  0.0000  0.5000  4 Cd 3.06
Sn  0.0000  0.5000  0.8690  3 Cd 2.97-3.03, 2 In 3.03
Sn  0.5000  0.0000  0.1310  3 Cd 2.97-3.03, 2 In 3.03
Sn  0.5000  0.5000  0.5000  4 Cd 3.06

=====

No. 2
First-principles (PBE-GGA) data for crystalline CsCdIn4Sn2 at its relaxed geometry, as listed in Alexandria via LeMat-Bulk.

Summary:
- energy of formation (eV/atom) = -0.030
- space group = R-3m
- total DFT energy (no corrections) (eV/atom) = -2.62
- crystal system = trigonal

Lattice parameters (Å, degrees): 11.3009 11.3009 11.3009 27.33 27.33 27.33
Closest atoms and distances in Å follow each position.
Sites, in units of the cell vectors:
Cs  0.0000  0.0000  0.0000  8 In 3.94-4.35
Cd  0.5000  0.5000  0.5000  8 In 2.98-3.27
In  0.1334  0.1334  0.1334  4 Sn 3.16-3.24, 3 Cd 3.27
In  0.4086  0.4086  0.4086  1 Cd 2.98, 3 Sn 3.21
In  0.5914  0.5914  0.5914  1 Cd 2.98, 3 Sn 3.21
In  0.8666  0.8666  0.8666  4 Sn 3.16-3.24, 3 Cd 3.27
Sn  0.2302  0.2302  0.2302  7 In 3.16-3.24
Sn  0.7698  0.7698  0.7698  7 In 3.16-3.24

=====

No. 3
First-principles (PBE-GGA) data for crystalline CsCd4InSn2 at its relaxed geometry, as listed in Alexandria via LeMat-Bulk.

Summary:
- energy of formation (eV/atom) = 0.003
- space group = R-3m
- total DFT energy (no corrections) (eV/atom) = -1.90
- crystal system = trigonal

Lattice parameters (Å, degrees): 11.4915 11.4915 11.4915 26.08 26.08 26.08
Closest atoms and distances in Å follow each position.
Sites, in units of the cell vectors:
Cs  0.0000  0.0000  0.0000  6 Cd 3.90
Cd  0.1318  0.1318  0.1318  4 Sn 3.16-3.32, 3 In 3.21
Cd  0.4084  0.4084  0.4084  1 In 3.05, 3 Sn 3.12
Cd  0.5916  0.5916  0.5916  1 In 3.05, 3 Sn 3.12
Cd  0.8682  0.8682  0.8682  4 Sn 3.16-3.32, 3 In 3.21
In  0.5000  0.5000  0.5000  8 Cd 3.05-3.21
Sn  0.2316  0.2316  0.2316  7 Cd 3.12-3.32
Sn  0.7684  0.7684  0.7684  7 Cd 3.12-3.32

=====

No. 4
First-principles (PBE-GGA) data for crystalline Cs2CdIn3Sn4 at its relaxed geometry, as listed in Alexandria via LeMat-Bulk.

Summary:
- energy of formation (eV/atom) = -0.161
- space group = P-4m2
- total DFT energy (no corrections) (eV/atom) = -2.85
- crystal system = tetragonal

Lattice parameters (Å, degrees): 5.2441 5.2441 12.2102 90.00 90.00 90.00
Closest atoms and distances in Å follow each position.
Sites, in units of the cell vectors:
Cs  0.0000  0.5000  0.2474  8 Sn 3.99-4.05, 2 Cd 4.00, 6 In 4.00
Cs  0.5000  0.0000  0.7526  8 Sn 3.99-4.05, 2 Cd 4.00, 6 In 4.00
Cd  0.5000  0.5000  0.0000  4 Sn 3.05
In  0.0000  0.0000  0.0000  4 Sn 3.05
In  0.0000  0.5000  0.6295  5 Sn 2.97-3.06
In  0.5000  0.0000  0.3705  5 Sn 2.97-3.06
Sn  0.0000  0.0000  0.5000  4 In 3.06
Sn  0.0000  0.5000  0.8725  3 In 2.97-3.05, 2 Cd 3.05
Sn  0.5000  0.0000  0.1275  3 In 2.97-3.05, 2 Cd 3.05
Sn  0.5000  0.5000  0.5000  4 In 3.06

=====

No. 5
First-principles (PBE-GGA) data for crystalline CsCd2InSn at its relaxed geometry, as listed in Alexandria via LeMat-Bulk.

Summary:
- energy of formation (eV/atom) = -0.110
- space group = Imm2
- total DFT energy (no corrections) (eV/atom) = -1.99
- crystal system = orthorhombic

Lattice parameters (Å, degrees): 7.2995 7.2995 7.2995 139.63 138.68 59.14
Closest atoms and distances in Å follow each position.
Sites, in units of the cell vectors:
Cs  0.0000  0.0000  0.0000  8 Cd 3.89-4.14, 4 Sn 3.92, 4 In 3.99-4.15
Cd  0.6157  0.6157  0.0000  1 Sn 3.01, 2 In 3.05, 2 Cd 3.08
Cd  0.7548  0.2548  0.5000  2 Sn 3.02, 2 Cd 3.08
In  0.2439  0.7439  0.5000  2 Sn 3.04, 2 Cd 3.05
Sn  0.3787  0.3787  0.0000  3 Cd 3.01-3.02, 2 In 3.04

=====

No. 6
First-principles (PBE-GGA) data for crystalline Cs2Cd4In3Sn at its relaxed geometry, as listed in Alexandria via LeMat-Bulk.

Summary:
- energy of formation (eV/atom) = -0.066
- space group = P-4m2
- total DFT energy (no corrections) (eV/atom) = -1.82
- crystal system = tetragonal

Lattice parameters (Å, degrees): 5.0999 5.0999 12.7079 90.00 90.00 90.00
Closest atoms and distances in Å follow each position.
Sites, in units of the cell vectors:
Cs  0.0000  0.5000  0.2485  8 Cd 3.90-4.06, 6 In 3.93-4.09, 2 Sn 4.09
Cs  0.5000  0.0000  0.7515  8 Cd 3.90-4.06, 6 In 3.93-4.09, 2 Sn 4.09
Cd  0.0000  0.0000  0.0000  4 In 3.01
Cd  0.0000  0.5000  0.6348  3 In 3.04-3.07, 2 Sn 3.07
Cd  0.5000  0.0000  0.3652  3 In 3.04-3.07, 2 Sn 3.07
Cd  0.5000  0.5000  0.0000  4 In 3.01
In  0.0000  0.5000  0.8743  5 Cd 3.01-3.04
In  0.5000  0.0000  0.1257  5 Cd 3.01-3.04
In  0.5000  0.5000  0.5000  4 Cd 3.07
Sn  0.0000  0.0000  0.5000  4 Cd 3.07